## HfIrRuBr2 (PBE-GGA)

Data for HfIrRuBr2 after structural relaxation.

a b c (Å): 4.9701 5.1084 4.9701
angles (deg): 90.00 90.00 90.00
Last column: nearest neighbours and their distance in Å.
Fractional coordinates of all 5 atoms:
Ru 0.5000 0.5000 0.5000  4 Hf 3.51, 8 Br 3.56
Ir 0.0000 0.0000 0.0000  4 Br 2.49, 2 Hf 2.55
Hf 0.0000 0.5000 0.0000  2 Ir 2.55
Br 0.0000 0.0000 0.5000  2 Ir 2.49
Br 0.5000 0.0000 0.0000  2 Ir 2.49

Size of the total moment: 2.4 μB per formula unit
Space group: P4/mmm (123)
Uncorrected formation energy: 1218 meV per atom

=====

## HfIrSe2Br (PBE-GGA)

Data for HfIrSe2Br after structural relaxation.

a b c (Å): 4.9164 4.9164 4.8320
angles (deg): 90.00 90.00 90.00
Last column: nearest neighbours and their distance in Å.
Fractional coordinates of all 5 atoms:
Ir 0.0000 0.0000 0.0000  2 Br 2.42, 4 Se 2.46
Hf 0.5000 0.5000 0.5000  8 Se 3.45, 4 Br 3.48
Se 0.0000 0.5000 0.0000  2 Ir 2.46
Se 0.5000 0.0000 0.0000  2 Ir 2.46
Br 0.0000 0.0000 0.5000  2 Ir 2.42

E above lowest polymorph: 0 meV per atom
Size of the total moment: 0.0 μB per formula unit
Space group: P4/mmm (123)
Uncorrected formation energy: 484 meV per atom

=====

## HfIrSeBr2 (PBE-GGA)

Data for HfIrSeBr2 after structural relaxation.

a b c (Å): 5.2509 5.2509 5.1471
angles (deg): 90.00 90.00 90.00
Last column: nearest neighbours and their distance in Å.
Fractional coordinates of all 5 atoms:
Ir 0.5000 0.5000 0.5000  8 Br 3.68, 4 Se 3.71
Hf 0.0000 0.0000 0.0000  2 Se 2.57, 4 Br 2.63
Se 0.0000 0.0000 0.5000  2 Hf 2.57
Br 0.0000 0.5000 0.0000  2 Hf 2.63
Br 0.5000 0.0000 0.0000  2 Hf 2.63

E above lowest polymorph: 0 meV per atom
Size of the total moment: 3.0 μB per formula unit
Space group: P4/mmm (123)
Uncorrected formation energy: 500 meV per atom

=====

## HfIrSeBr2 (PBE-GGA)

Data for HfIrSeBr2 after structural relaxation.

a b c (Å): 4.9415 4.9415 4.9963
angles (deg): 90.00 90.00 90.00
Last column: nearest neighbours and their distance in Å.
Fractional coordinates of all 5 atoms:
Ir 0.0000 0.0000 0.0000  4 Br 2.47, 2 Se 2.50
Hf 0.5000 0.5000 0.5000  4 Se 3.49, 8 Br 3.51
Se 0.0000 0.0000 0.5000  2 Ir 2.50
Br 0.0000 0.5000 0.0000  2 Ir 2.47
Br 0.5000 0.0000 0.0000  2 Ir 2.47

E above lowest polymorph: 117 meV per atom
Size of the total moment: 1.1 μB per formula unit
Space group: P4/mmm (123)
Uncorrected formation energy: 617 meV per atom

=====

Copy entry 1 word for word.
## HfIrRuBr2 (PBE-GGA)

Data for HfIrRuBr2 after structural relaxation.

a b c (Å): 4.9701 5.1084 4.9701
angles (deg): 90.00 90.00 90.00
Last column: nearest neighbours and their distance in Å.
Fractional coordinates of all 5 atoms:
Ru 0.5000 0.5000 0.5000  4 Hf 3.51, 8 Br 3.56
Ir 0.0000 0.0000 0.0000  4 Br 2.49, 2 Hf 2.55
Hf 0.0000 0.5000 0.0000  2 Ir 2.55
Br 0.0000 0.0000 0.5000  2 Ir 2.49
Br 0.5000 0.0000 0.0000  2 Ir 2.49

Size of the total moment: 2.4 μB per formula unit
Space group: P4/mmm (123)
Uncorrected formation energy: 1218 meV per atom